[1]
Compound: Ce2AlInPt6
Source: the Alexandria database
Functional: PBE-GGA
Structure: optimized geometry

abc: 5.633 5.633 8.958
angles: 108.29 108.29 60.00
Positions (direct):
1 Ce 0.204 0.204 0.113
2 Ce 0.796 0.796 0.887
3 Al 0.500 0.500 0.000
4 In 0.000 0.000 0.500
5 Pt 0.238 0.743 0.225
6 Pt 0.257 0.257 0.775
7 Pt 0.257 0.762 0.775
8 Pt 0.743 0.238 0.225
9 Pt 0.743 0.743 0.225
10 Pt 0.762 0.257 0.775

Values from the calculation:
Calculated density ... 11.52 g/cm³
N(E_F) ... 14.22 states/eV/f.u.
Crystal system ... monoclinic
Formation enthalpy at 0 K ... -0.800 eV/atom
Symmetry ... C2/m



[2]
Compound: TbZr3
Source: the Alexandria database
Functional: PBE-GGA
Structure: optimized geometry

abc: 3.306 3.306 10.589
angles: 90.00 90.00 120.00
Positions (direct):
1 Tb 0.000 0.000 0.000
2 Zr 0.000 0.000 0.500
3 Zr 0.667 0.333 0.262
4 Zr 0.667 0.333 0.738

Values from the calculation:
Calculated density ... 7.17 g/cm³
N(E_F) ... 5.05 states/eV/f.u.
Crystal system ... hexagonal
Formation enthalpy at 0 K ... 0.059 eV/atom
Polymorph energy (0 for the lowest one) ... 0.0000 eV/atom
Symmetry ... P-6m2